Material: DyEr2Os
Method: DFT, PBE-GGA
State: optimized geometry

Cell lengths 3.3997, 3.3997, 11.0034 Å; angles 81.11, 81.11, 60.00 degrees
Last column: nearest neighbours and their distance in Å.
Atoms (fractional coordinates):
Er 0.1050 0.1050 0.6849  3 Os 2.80
Dy 0.0000 0.0000 0.0000  6 Dy 3.40, 2 Er 3.41
Os 0.5000 0.5000 0.5000  6 Er 2.80
Er 0.8950 0.8950 0.3151  3 Os 2.80

For the volume, the calculation gives 108 Å³ per cell. The total moment is 0.3 Bohr magnetons per cell. Its uncorrected energy is -5.992 eV/atom. The formation energy from the elements is 0.25 eV/atom.